! NaGaGeB2, relaxed, DFT PBE; values from VASP
! Crystal system: tetragonal
! N(E_F) in states/eV/atom: 0.621
! Formation enthalpy at 0 K in eV/atom: 1.28
! Space group: No. 123
&SYSTEM
  ibrav = 0, nat = 5, ntyp = 4
/
ATOMIC_SPECIES
Na 22.99 Na.upf
Ga 69.72 Ga.upf
Ge 72.64 Ge.upf
B 10.81 B.upf
CELL_PARAMETERS angstrom
4.1713 0.0000 0.0000
0.0000 4.1713 0.0000
0.0000 0.0000 5.3199
ATOMIC_POSITIONS crystal
Na 0.0000 0.0000 0.0000
Ga 0.5000 0.5000 0.0000
Ge 0.0000 0.0000 0.5000
B 0.0000 0.5000 0.5000
B 0.5000 0.0000 0.5000

***

! TlCd2CuSn, relaxed, DFT PBE; values from VASP
! Crystal system: tetragonal
! N(E_F) in states/eV/atom: 0.582
! Formation enthalpy at 0 K in eV/atom: 0.14
! Space group: No. 123
&SYSTEM
  ibrav = 0, nat = 5, ntyp = 4
/
ATOMIC_SPECIES
Tl 204.38 Tl.upf
Cd 112.41 Cd.upf
Cu 63.55 Cu.upf
Sn 118.71 Sn.upf
CELL_PARAMETERS angstrom
5.1206 0.0000 0.0000
0.0000 5.1206 0.0000
0.0000 0.0000 5.0547
ATOMIC_POSITIONS crystal
Tl 0.0000 0.0000 0.0000
Cd 0.0000 0.5000 0.5000
Cd 0.5000 0.0000 0.5000
Cu 0.5000 0.5000 0.5000
Sn 0.5000 0.5000 0.0000

***

! NbCu2RePb, relaxed, DFT PBE; values from VASP
! Crystal system: tetragonal
! N(E_F) in states/eV/atom: 0.706
! Formation enthalpy at 0 K in eV/atom: 1.43
! Space group: No. 123
&SYSTEM
  ibrav = 0, nat = 5, ntyp = 4
/
ATOMIC_SPECIES
Nb 92.91 Nb.upf
Cu 63.55 Cu.upf
Re 186.21 Re.upf
Pb 207.20 Pb.upf
CELL_PARAMETERS angstrom
4.9112 0.0000 0.0000
0.0000 4.9112 0.0000
0.0000 0.0000 4.7397
ATOMIC_POSITIONS crystal
Nb 0.0000 0.0000 0.0000
Cu 0.0000 0.5000 0.0000
Cu 0.5000 0.0000 0.0000
Re 0.0000 0.0000 0.5000
Pb 0.5000 0.5000 0.5000

***

! CrPHS2, relaxed, DFT PBE; values from VASP
! Crystal system: tetragonal
! N(E_F) in states/eV/atom: 0.611
! Space group: No. 123
! Energy above the lowest structure with this stoichiometry in meV per atom: 159
&SYSTEM
  ibrav = 0, nat = 5, ntyp = 4
/
ATOMIC_SPECIES
Cr 52.00 Cr.upf
P 30.97 P.upf
H 1.01 H.upf
S 32.06 S.upf
CELL_PARAMETERS angstrom
4.3591 0.0000 0.0000
0.0000 4.3591 0.0000
0.0000 0.0000 4.5310
ATOMIC_POSITIONS crystal
Cr 0.0000 0.0000 0.0000
P 0.0000 0.0000 0.5000
H 0.5000 0.5000 0.5000
S 0.0000 0.5000 0.0000
S 0.5000 0.0000 0.0000

***

! PrVSi2, relaxed, DFT PBE; values from VASP
! Raw formation energy in kJ/mol of formula units: 376.5
! Crystal system: trigonal
! N(E_F) in states/eV/atom: 1.830
! Space group: No. 166
&SYSTEM
  ibrav = 0, nat = 12, ntyp = 3
/
ATOMIC_SPECIES
Pr 140.91 Pr.upf
V 50.94 V.upf
Si 28.09 Si.upf
CELL_PARAMETERS angstrom
4.8821 0.0000 0.0000
-2.4411 4.2280 0.0000
0.0000 0.0000 18.7553
ATOMIC_POSITIONS crystal
Pr 0.0000 0.0000 0.0000
Pr 0.3333 0.6667 0.6667
Pr 0.6667 0.3333 0.3333
V 0.0000 0.0000 0.5000
V 0.3333 0.6667 0.1667
V 0.6667 0.3333 0.8333
Si 0.0000 0.0000 0.3697
Si 0.0000 0.0000 0.6303
Si 0.3333 0.6667 0.0364
Si 0.3333 0.6667 0.2969
Si 0.6667 0.3333 0.7031
Si 0.6667 0.3333 0.9636

***

! CePmI6, relaxed, DFT PBE; values from VASP
! Raw formation energy in kJ/mol of formula units: -1020.5
! Crystal system: trigonal
! N(E_F) in states/eV/atom: 1.023
! Space group: No. 148
! Energy above the lowest structure with this stoichiometry in meV per atom: 33
&SYSTEM
  ibrav = 0, nat = 8, ntyp = 3
/
ATOMIC_SPECIES
Ce 140.12 Ce.upf
Pm 145.00 Pm.upf
I 126.90 I.upf
CELL_PARAMETERS angstrom
3.9082 2.2564 7.1271
-3.9082 2.2564 7.1271
0.0000 -4.5129 7.1271
ATOMIC_POSITIONS crystal
Ce 0.0000 0.0000 0.0000
Pm 0.5000 0.5000 0.5000
I 0.0914 0.7478 0.4125
I 0.2522 0.5875 0.9086
I 0.4125 0.0914 0.7478
I 0.5875 0.9086 0.2522
I 0.7478 0.4125 0.0914
I 0.9086 0.2522 0.5875

***

! MgNiSb2I, relaxed, DFT PBE; values from VASP
! Raw formation energy in kJ/mol of formula units: 448.7
! Crystal system: tetragonal
! N(E_F) in states/eV/atom: 1.982
! Space group: No. 123
! Energy above the lowest structure with this stoichiometry in meV per atom: 653
&SYSTEM
  ibrav = 0, nat = 5, ntyp = 4
/
ATOMIC_SPECIES
Mg 24.30 Mg.upf
Ni 58.69 Ni.upf
Sb 121.76 Sb.upf
I 126.90 I.upf
CELL_PARAMETERS angstrom
5.3684 0.0000 0.0000
0.0000 5.3684 0.0000
0.0000 0.0000 5.5526
ATOMIC_POSITIONS crystal
Mg 0.0000 0.0000 0.0000
Ni 0.5000 0.5000 0.5000
Sb 0.0000 0.5000 0.0000
Sb 0.5000 0.0000 0.0000
I 0.0000 0.0000 0.5000

***

! Li2LaInAg5, relaxed, DFT PBE; values from VASP
! Crystal system: tetragonal
! N(E_F) in states/eV/atom: 0.495
! Formation enthalpy at 0 K in eV/atom: -0.10
! Space group: No. 123
&SYSTEM
  ibrav = 0, nat = 9, ntyp = 4
/
ATOMIC_SPECIES
Li 6.94 Li.upf
La 138.91 La.upf
In 114.82 In.upf
Ag 107.87 Ag.upf
CELL_PARAMETERS angstrom
4.9146 0.0000 0.0000
0.0000 4.9146 0.0000
0.0000 0.0000 7.5516
ATOMIC_POSITIONS crystal
Li 0.0000 0.0000 0.1572
Li 0.0000 0.0000 0.8428
La 0.5000 0.5000 0.5000
In 0.5000 0.5000 0.0000
Ag 0.0000 0.0000 0.5000
Ag 0.0000 0.5000 0.2253
Ag 0.0000 0.5000 0.7747
Ag 0.5000 0.0000 0.2253
Ag 0.5000 0.0000 0.7747